This record from the Alexandria database describes an optimized crystal structure of HfAlCd. The functional is PBE.

Results
As for the total moment: 0.00 μB/f.u. The calculation puts the density of states at the Fermi level at 1.76 states/eV per cell. As for the relative energy among the computed polymorphs: 0.161 eV/atom. As for the crystal system: monoclinic.

a b c (Å): 4.542 4.542 7.495
angles (deg): 107.57 107.57 60.00
Fractional positions:
Hf1 0.000 0.000 0.000
Hf2 0.137 0.137 0.413
Al1 0.402 0.402 0.205
Al2 0.730 0.730 0.190
Cd1 0.583 0.583 0.749
Cd2 0.863 0.863 0.589